Below is a relaxed RbLi2GeP crystal, with properties calculated at the PBEsol level.

Results
DFT total energy = -2.5616 eV/atom
N(E_F) = 1.036 states/eV per atom
Symmetry = P4/mmm
DFT formation energy = 2.9 eV per formula unit
M_tot = 1.78 Bohr magnetons per cell

a = 4.947 Å, b = 4.947 Å, c = 6.010 Å
α = 90.00°, β = 90.00°, γ = 90.00°
Atoms (fractional coordinates):
Rb: 0.000 0.000 0.000
Li: 0.000 0.500 0.500
Li: 0.500 0.000 0.500
Ge: 0.000 0.000 0.500
P: 0.500 0.500 0.000


Below is a relaxed Li10GeP2S12 crystal, with properties calculated at the PBEsol level.

Results
DFT total energy = -4.5181 eV/atom
Formation energy without anion corrections = -0.966 eV/atom
N(E_F) = 0.000 states/eV per atom
Symmetry = P4_2mc
M_tot = 0.00 Bohr magnetons per cell
Polymorph energy (0 for the lowest one) = 10 meV/atom

a = 8.682 Å, b = 8.682 Å, c = 12.403 Å
α = 90.00°, β = 90.00°, γ = 90.00°
Atoms (fractional coordinates):
Li: 0.000 0.000 0.000
Li: 0.000 0.000 0.500
Li: 0.225 0.243 0.491
Li: 0.225 0.757 0.491
Li: 0.227 0.270 0.748
Li: 0.227 0.730 0.748
Li: 0.243 0.225 0.991
Li: 0.243 0.775 0.991
Li: 0.270 0.227 0.248
Li: 0.270 0.773 0.248
Li: 0.500 0.500 0.399
Li: 0.500 0.500 0.899
Li: 0.730 0.227 0.248
Li: 0.730 0.773 0.248
Li: 0.757 0.225 0.991
Li: 0.757 0.775 0.991
Li: 0.773 0.270 0.748
Li: 0.773 0.730 0.748
Li: 0.775 0.243 0.491
Li: 0.775 0.757 0.491
Ge: 0.000 0.000 0.252
Ge: 0.000 0.000 0.752
P: 0.000 0.500 0.962
P: 0.500 0.000 0.462
P: 0.500 0.500 0.146
P: 0.500 0.500 0.646
S: 0.000 0.209 0.649
S: 0.000 0.210 0.355
S: 0.000 0.308 0.056
S: 0.000 0.692 0.056
S: 0.000 0.790 0.355
S: 0.000 0.791 0.649
S: 0.196 0.500 0.868
S: 0.209 0.000 0.149
S: 0.210 0.000 0.855
S: 0.302 0.500 0.554
S: 0.306 0.500 0.238
S: 0.308 0.000 0.556
S: 0.500 0.196 0.368
S: 0.500 0.302 0.054
S: 0.500 0.306 0.738
S: 0.500 0.694 0.738
S: 0.500 0.698 0.054
S: 0.500 0.804 0.368
S: 0.692 0.000 0.556
S: 0.694 0.500 0.238
S: 0.698 0.500 0.554
S: 0.790 0.000 0.855
S: 0.791 0.000 0.149
S: 0.804 0.500 0.868